VASP calculation (PBE) on crystalline LaBiPd2 at its relaxed geometry.

Output
For the total moment, the calculation gives 0.00 μB per formula unit. The calculation puts the formation energy at -0.11 eV/atom.

a b c (Å): 6.2476 6.2476 6.2476
angles (deg): 137.80 137.25 61.63
Element x y z (fractional)
La: 0.0000 0.0000 0.0000
Bi: 0.5000 0.5000 0.0000
Pd: 0.2428 0.2428 0.0000
Pd: 0.7572 0.7572 0.0000

VASP calculation (PBE) on crystalline LaBiPd5 at its relaxed geometry.

Output
For the total moment, the calculation gives 0.00 μB per formula unit. The calculation puts the formation energy at -0.56 eV/atom.

a b c (Å): 8.8870 5.5702 11.0985
angles (deg): 90.00 90.00 90.00
Element x y z (fractional)
La: 0.2463 0.2500 0.0498
La: 0.2537 0.7500 0.5498
La: 0.7463 0.2500 0.4502
La: 0.7537 0.7500 0.9502
Bi: 0.1514 0.2500 0.3501
Bi: 0.3486 0.7500 0.8501
Bi: 0.6514 0.2500 0.1499
Bi: 0.8486 0.7500 0.6499
Pd: 0.0665 0.5047 0.8048
Pd: 0.0665 0.9953 0.8048
Pd: 0.0778 0.2500 0.5863
Pd: 0.0939 0.7500 0.0227
Pd: 0.1787 0.7500 0.2675
Pd: 0.3213 0.2500 0.7675
Pd: 0.4061 0.2500 0.5227
Pd: 0.4222 0.7500 0.0863
Pd: 0.4335 0.0047 0.3048
Pd: 0.4335 0.4953 0.3048
Pd: 0.5665 0.5047 0.6952
Pd: 0.5665 0.9953 0.6952
Pd: 0.5778 0.2500 0.9137
Pd: 0.5939 0.7500 0.4773
Pd: 0.6787 0.7500 0.2325
Pd: 0.8213 0.2500 0.7325
Pd: 0.9061 0.2500 0.9773
Pd: 0.9222 0.7500 0.4137
Pd: 0.9335 0.0047 0.1952
Pd: 0.9335 0.4953 0.1952

VASP calculation (PBE) on crystalline LaBiPd6 at its relaxed geometry.

Output
For the total moment, the calculation gives 0.00 μB per formula unit. The calculation puts the formation energy at -0.25 eV/atom. The value obtained for the energy above the most stable polymorph in this dataset is 0.256 eV per atom.

a b c (Å): 7.7813 7.7813 7.7813
angles (deg): 41.63 41.63 41.63
Element x y z (fractional)
La: 0.0000 0.0000 0.0000
Bi: 0.5000 0.5000 0.5000
Pd: 0.0569 0.5676 0.5676
Pd: 0.4324 0.4324 0.9431
Pd: 0.4324 0.9431 0.4324
Pd: 0.5676 0.0569 0.5676
Pd: 0.5676 0.5676 0.0569
Pd: 0.9431 0.4324 0.4324

VASP calculation (PBE) on crystalline La2BiPd2 at its relaxed geometry.

Output
For the total moment, the calculation gives 0.00 μB per formula unit. The calculation puts the formation energy at -0.74 eV/atom. The value obtained for the energy above the most stable polymorph in this dataset is 0.174 eV per atom.

a b c (Å): 8.6410 8.6410 8.6410
angles (deg): 152.61 152.61 39.13
Element x y z (fractional)
La: 0.1156 0.1156 0.0000
La: 0.8844 0.8844 0.0000
Bi: 0.5000 0.5000 0.0000
Pd: 0.2500 0.7500 0.5000
Pd: 0.7500 0.2500 0.5000

VASP calculation (PBE) on crystalline La2BiPd2 at its relaxed geometry.

Output
For the total moment, the calculation gives 0.00 μB per formula unit. The calculation puts the formation energy at -0.91 eV/atom. The value obtained for the energy above the most stable polymorph in this dataset is 0.000 eV per atom.

a b c (Å): 8.0274 8.0274 4.0002
angles (deg): 90.00 90.00 90.00
Element x y z (fractional)
La: 0.1784 0.3216 0.0000
La: 0.3216 0.8216 0.0000
La: 0.6784 0.1784 0.0000
La: 0.8216 0.6784 0.0000
Bi: 0.0000 0.0000 0.5000
Bi: 0.5000 0.5000 0.5000
Pd: 0.1230 0.6230 0.5000
Pd: 0.3770 0.1230 0.5000
Pd: 0.6230 0.8770 0.5000
Pd: 0.8770 0.3770 0.5000

VASP calculation (PBE) on crystalline La2BiPd2 at its relaxed geometry.

Output
For the total moment, the calculation gives 0.00 μB per formula unit. The calculation puts the formation energy at -0.77 eV/atom. The value obtained for the energy above the most stable polymorph in this dataset is 0.143 eV per atom.

a b c (Å): 5.8814 5.8814 5.8814
angles (deg): 122.39 122.39 85.91
Element x y z (fractional)
La: 0.2500 0.7500 0.5000
La: 0.7500 0.2500 0.5000
Bi: 0.0000 0.0000 0.0000
Pd: 0.3506 0.3506 0.0000
Pd: 0.6494 0.6494 0.0000

VASP calculation (PBE) on crystalline LaBi2Pd8 at its relaxed geometry.

Output
For the total moment, the calculation gives 0.00 μB per formula unit. The calculation puts the formation energy at -0.36 eV/atom.

a b c (Å): 8.1995 8.1995 5.1281
angles (deg): 108.20 108.20 124.03
Element x y z (fractional)
La: 0.0000 0.0000 0.0000
Bi: 0.3172 0.6828 0.5000
Bi: 0.6828 0.3172 0.5000
Pd: 0.1019 0.3753 0.7426
Pd: 0.1921 0.8079 0.0000
Pd: 0.3753 0.1019 0.7426
Pd: 0.4949 0.4949 0.7465
Pd: 0.5051 0.5051 0.2535
Pd: 0.6247 0.8981 0.2574
Pd: 0.8079 0.1921 0.0000
Pd: 0.8981 0.6247 0.2574

VASP calculation (PBE) on crystalline La3Si2BiPd9 at its relaxed geometry.

Output
For the total moment, the calculation gives 0.00 μB per formula unit. The uncorrected formation energy is -0.5897 eV/atom.

a b c (Å): 7.3461 7.3461 7.0612
angles (deg): 90.00 90.00 120.00
Element x y z (fractional)
La: 0.0000 0.0000 0.0000
La: 0.3333 0.6667 0.6708
La: 0.6667 0.3333 0.3292
Si: 0.3333 0.6667 0.1285
Si: 0.6667 0.3333 0.8715
Bi: 0.0000 0.0000 0.5000
Pd: 0.0000 0.5000 0.0000
Pd: 0.1904 0.3808 0.3335
Pd: 0.1904 0.8096 0.3335
Pd: 0.3808 0.1904 0.6665
Pd: 0.5000 0.0000 0.0000
Pd: 0.5000 0.5000 0.0000
Pd: 0.6192 0.8096 0.3335
Pd: 0.8096 0.1904 0.6665
Pd: 0.8096 0.6192 0.6665

VASP calculation (PBE) on crystalline La2SiBiPd at its relaxed geometry.

Output
For the total moment, the calculation gives 0.00 μB per formula unit. The uncorrected formation energy is 0.0373 eV/atom.

a b c (Å): 5.6501 5.6501 5.2065
angles (deg): 90.00 90.00 90.00
Element x y z (fractional)
La: 0.0000 0.5000 0.0000
La: 0.5000 0.0000 0.0000
Si: 0.0000 0.0000 0.0000
Bi: 0.0000 0.0000 0.5000
Pd: 0.5000 0.5000 0.5000

VASP calculation (PBE) on crystalline La2Sn3BiPd4 at its relaxed geometry.

Output
For the total moment, the calculation gives 0.00 μB per formula unit. The calculation puts the formation energy at -0.77 eV/atom.

a b c (Å): 4.6765 4.6765 10.8776
angles (deg): 90.00 90.00 90.00
Element x y z (fractional)
La: 0.0000 0.5000 0.2350
La: 0.5000 0.0000 0.7650
Sn: 0.0000 0.5000 0.8774
Sn: 0.5000 0.0000 0.1226
Sn: 0.5000 0.5000 0.5000
Bi: 0.0000 0.0000 0.5000
Pd: 0.0000 0.0000 0.0000
Pd: 0.0000 0.5000 0.6378
Pd: 0.5000 0.0000 0.3622
Pd: 0.5000 0.5000 0.0000

VASP calculation (PBE) on crystalline LaTaBiPd2 at its relaxed geometry.

Output
For the total moment, the calculation gives 0.95 μB per formula unit. The calculation puts the formation energy at 0.52 eV/atom.

a b c (Å): 5.0627 5.0627 5.3378
angles (deg): 90.00 90.00 90.00
Element x y z (fractional)
La: 0.0000 0.0000 0.0000
Ta: 0.5000 0.5000 0.0000
Bi: 0.5000 0.5000 0.5000
Pd: 0.0000 0.5000 0.5000
Pd: 0.5000 0.0000 0.5000

VASP calculation (PBE) on crystalline LaTcBi2Pd at its relaxed geometry.

Output
For the total moment, the calculation gives 3.30 μB per formula unit. The calculation puts the formation energy at 0.40 eV/atom. The value obtained for the energy above the most stable polymorph in this dataset is 0.000 eV per atom.

a b c (Å): 5.3388 5.3388 5.1028
angles (deg): 90.00 90.00 90.00
Element x y z (fractional)
La: 0.0000 0.0000 0.0000
Tc: 0.5000 0.5000 0.0000
Bi: 0.0000 0.5000 0.5000
Bi: 0.5000 0.0000 0.5000
Pd: 0.5000 0.5000 0.5000

VASP calculation (PBE) on crystalline LaTcBi2Pd at its relaxed geometry.

Output
For the total moment, the calculation gives 1.91 μB per formula unit. The calculation puts the formation energy at 1.38 eV/atom. The value obtained for the energy above the most stable polymorph in this dataset is 0.986 eV per atom.

a b c (Å): 6.0891 6.0891 4.8621
angles (deg): 90.00 90.00 90.00
Element x y z (fractional)
La: 0.0000 0.0000 0.0000
Tc: 0.0000 0.0000 0.5000
Bi: 0.0000 0.5000 0.0000
Bi: 0.5000 0.0000 0.0000
Pd: 0.5000 0.5000 0.5000

VASP calculation (PBE) on crystalline LaPmBi at its relaxed geometry.

Output
For the total moment, the calculation gives 0.00 μB per formula unit. The calculation puts the formation energy at -0.56 eV/atom. The value obtained for the energy above the most stable polymorph in this dataset is 0.141 eV per atom.

a b c (Å): 6.0657 6.0657 6.0657
angles (deg): 138.75 138.75 59.75
Element x y z (fractional)
La: 0.0000 0.0000 0.0000
Pm: 0.3061 0.3061 0.0000
Bi: 0.6595 0.6595 0.0000

VASP calculation (PBE) on crystalline La5PmBi3 at its relaxed geometry.

Output
For the total moment, the calculation gives 3.40 μB per formula unit. The calculation puts the formation energy at -0.62 eV/atom.

a b c (Å): 9.9813 9.9813 6.8488
angles (deg): 90.00 90.00 120.00
Element x y z (fractional)
La: 0.0000 0.3312 0.2500
La: 0.0000 0.6688 0.7500
La: 0.3312 0.0000 0.2500
La: 0.3312 0.3312 0.7500
La: 0.3333 0.6667 0.0000
La: 0.3333 0.6667 0.5000
La: 0.6667 0.3333 0.0000
La: 0.6667 0.3333 0.5000
La: 0.6688 0.0000 0.7500
La: 0.6688 0.6688 0.2500
Pm: 0.0000 0.0000 0.0000
Pm: 0.0000 0.0000 0.5000
Bi: 0.0000 0.3337 0.7500
Bi: 0.0000 0.6663 0.2500
Bi: 0.3337 0.0000 0.7500
Bi: 0.3337 0.3337 0.2500
Bi: 0.6663 0.0000 0.2500
Bi: 0.6663 0.6663 0.7500

VASP calculation (PBE) on crystalline LaPm2Bi at its relaxed geometry.

Output
For the total moment, the calculation gives 0.00 μB per formula unit. The calculation puts the formation energy at 0.00 eV/atom. The value obtained for the energy above the most stable polymorph in this dataset is 0.455 eV per atom.

a b c (Å): 12.5941 12.5941 12.5941
angles (deg): 16.55 16.55 16.55
Element x y z (fractional)
La: 0.0000 0.0000 0.0000
Pm: 0.4136 0.4136 0.4136
Pm: 0.5864 0.5864 0.5864
Bi: 0.5000 0.5000 0.5000

VASP calculation (PBE) on crystalline LaPmBi at its relaxed geometry.

Output
For the total moment, the calculation gives 0.00 μB per formula unit. The calculation puts the formation energy at -0.47 eV/atom. The value obtained for the energy above the most stable polymorph in this dataset is 0.231 eV per atom.

a b c (Å): 5.3820 5.3820 5.3820
angles (deg): 60.00 60.00 60.00
Element x y z (fractional)
La: 0.0000 0.0000 0.0000
Pm: 0.5000 0.5000 0.5000
Bi: 0.7500 0.7500 0.7500

VASP calculation (PBE) on crystalline La2PmBi3 at its relaxed geometry.

Output
For the total moment, the calculation gives 0.00 μB per formula unit. The calculation puts the formation energy at -1.02 eV/atom.

a b c (Å): 8.0743 8.0743 8.0743
angles (deg): 146.38 131.78 60.06
Element x y z (fractional)
La: 0.1674 0.1674 0.0000
La: 0.8326 0.8326 0.0000
Pm: 0.5000 0.5000 0.0000
Bi: 0.0000 0.5000 0.5000
Bi: 0.3366 0.8366 0.5000
Bi: 0.6634 0.1634 0.5000

VASP calculation (PBE) on crystalline La3PmBi3 at its relaxed geometry.

Output
For the total moment, the calculation gives 0.00 μB per formula unit. The calculation puts the formation energy at -0.90 eV/atom. The value obtained for the energy above the most stable polymorph in this dataset is 0.000 eV per atom.

a b c (Å): 9.8214 9.8214 9.8214
angles (deg): 90.00 90.00 90.00
Element x y z (fractional)
La: 0.0689 0.4311 0.5689
La: 0.1772 0.8228 0.3228
La: 0.1780 0.1780 0.1780
La: 0.3220 0.8220 0.6780
La: 0.3228 0.1772 0.8228
La: 0.4311 0.5689 0.0689
La: 0.5689 0.0689 0.4311
La: 0.6772 0.6772 0.6772
La: 0.6780 0.3220 0.8220
La: 0.8220 0.6780 0.3220
La: 0.8228 0.3228 0.1772
La: 0.9311 0.9311 0.9311
Pm: 0.0714 0.5714 0.9286
Pm: 0.4286 0.4286 0.4286
Pm: 0.5714 0.9286 0.0714
Pm: 0.9286 0.0714 0.5714
Bi: 0.0009 0.2535 0.8715
Bi: 0.1285 0.5009 0.2465
Bi: 0.2465 0.1285 0.5009
Bi: 0.2535 0.8715 0.0009
Bi: 0.3715 0.4991 0.7465
Bi: 0.4991 0.7465 0.3715
Bi: 0.5009 0.2465 0.1285
Bi: 0.6285 0.9991 0.7535
Bi: 0.7465 0.3715 0.4991
Bi: 0.7535 0.6285 0.9991
Bi: 0.8715 0.0009 0.2535
Bi: 0.9991 0.7535 0.6285

VASP calculation (PBE) on crystalline La3PmBi4 at its relaxed geometry.

Output
For the total moment, the calculation gives 0.00 μB per formula unit. The calculation puts the formation energy at -1.03 eV/atom.

a b c (Å): 8.0948 8.0948 4.6761
angles (deg): 90.00 90.00 109.44
Element x y z (fractional)
La: 0.0000 0.0000 0.0000
La: 0.0000 0.5000 0.5000
La: 0.5000 0.0000 0.5000
Pm: 0.5000 0.5000 0.0000
Bi: 0.2520 0.7480 0.0000
Bi: 0.2540 0.2540 0.5000
Bi: 0.7460 0.7460 0.5000
Bi: 0.7480 0.2520 0.0000

VASP calculation (PBE) on crystalline La4PmBi5 at its relaxed geometry.

Output
For the total moment, the calculation gives 0.00 μB per formula unit. The calculation puts the formation energy at -1.03 eV/atom.

a b c (Å): 12.3788 12.3788 12.3788
angles (deg): 158.18 148.99 38.24
Element x y z (fractional)
La: 0.0995 0.0995 0.0000
La: 0.3013 0.3013 0.0000
La: 0.6987 0.6987 0.0000
La: 0.9005 0.9005 0.0000
Pm: 0.5000 0.5000 0.0000
Bi: 0.0000 0.5000 0.5000
Bi: 0.2003 0.7003 0.5000
Bi: 0.4024 0.9024 0.5000
Bi: 0.5976 0.0976 0.5000
Bi: 0.7997 0.2997 0.5000

VASP calculation (PBE) on crystalline LaPm3Bi3 at its relaxed geometry.

Output
For the total moment, the calculation gives 0.00 μB per formula unit. The calculation puts the formation energy at -0.85 eV/atom. The value obtained for the energy above the most stable polymorph in this dataset is 0.000 eV per atom.

a b c (Å): 9.6950 9.6950 9.6950
angles (deg): 90.00 90.00 90.00
Element x y z (fractional)
La: 0.0707 0.4293 0.5707
La: 0.4293 0.5707 0.0707
La: 0.5707 0.0707 0.4293
La: 0.9293 0.9293 0.9293
Pm: 0.0742 0.5742 0.9258
Pm: 0.1794 0.8206 0.3206
Pm: 0.1800 0.1800 0.1800
Pm: 0.3200 0.8200 0.6800
Pm: 0.3206 0.1794 0.8206
Pm: 0.4258 0.4258 0.4258
Pm: 0.5742 0.9258 0.0742
Pm: 0.6794 0.6794 0.6794
Pm: 0.6800 0.3200 0.8200
Pm: 0.8200 0.6800 0.3200
Pm: 0.8206 0.3206 0.1794
Pm: 0.9258 0.0742 0.5742
Bi: 0.0007 0.2541 0.8786
Bi: 0.1214 0.5007 0.2459
Bi: 0.2459 0.1214 0.5007
Bi: 0.2541 0.8786 0.0007
Bi: 0.3786 0.4993 0.7459
Bi: 0.4993 0.7459 0.3786
Bi: 0.5007 0.2459 0.1214
Bi: 0.6214 0.9993 0.7541
Bi: 0.7459 0.3786 0.4993
Bi: 0.7541 0.6214 0.9993
Bi: 0.8786 0.0007 0.2541
Bi: 0.9993 0.7541 0.6214